This record from Alexandria describes a relaxed structure of PrEr8Th2. The functional is PBE.

Cell: 5.979 8.395 8.483 Å, 104.28 109.46 108.38°
Space group P-1 (No. 2)
Symmetry-distinct sites (fractional):
Pr 0.000 0.000 0.000 x1
Er 0.228 0.642 0.733 x2
Er 0.259 0.462 0.089 x2
Er 0.301 0.276 0.462 x2
Er 0.381 0.093 0.796 x2
Th 0.168 0.809 0.364 x2

energy above the most stable polymorph in this dataset = 0.000 eV per atom
DFT formation energy = 93.8 meV/atom
size of the total moment = 0.00 μB/f.u.

***

This record from Alexandria describes a relaxed structure of ThRh2Au3. The functional is PBE.

Cell: 6.050 8.688 9.033 Å, 90.00 108.67 90.00°
Space group C2/c (No. 15)
Symmetry-distinct sites (fractional):
Th 0.000 0.131 0.250 x4
Rh 0.166 0.129 0.589 x8
Au 0.000 0.383 0.750 x4
Au 0.168 0.378 0.071 x8

energy above the most stable polymorph in this dataset = 0.024 eV per atom
DFT formation energy = -341.5 meV/atom
size of the total moment = 0.00 μB/f.u.

***

This record from Alexandria describes a relaxed structure of LaCe2Ir9. The functional is PBE.

Cell: 5.3586 5.3586 26.5201 Å, 90.00 90.00 120.00°
Space group R-3m (No. 166, hexagonal axes)
Symmetry-distinct sites (fractional):
La 0.0000 0.0000 0.0000 x3
Ce 0.0000 0.0000 0.1389 x6
Ir 0.0000 0.0000 0.3328 x6
Ir 0.0000 0.0000 0.5000 x3
Ir 0.0006 0.5003 0.9174 x18

DFT formation energy = -587.4 meV/atom
size of the total moment = 0.00 μB/f.u.

***

This record from Alexandria describes a relaxed structure of Ba2Cd6Ag. The functional is PBE.

Cell: 11.361 6.652 7.092 Å, 90.00 103.67 90.00°
Space group C2/m (No. 12)
Symmetry-distinct sites (fractional):
Ba 0.152 0.000 0.370 x4
Cd 0.113 0.500 0.176 x4
Cd 0.131 0.233 0.842 x8
Ag 0.000 0.500 0.500 x2

DFT formation energy = -224.6 meV/atom
size of the total moment = 0.00 μB/f.u.

***

This record from Alexandria describes a relaxed structure of Cs2SmHgBr6. The functional is PBE.

Cell: 8.387 11.824 8.390 Å, 90.00 90.00 90.00°
Space group Pmmn (No. 59, origin choice 2)
Symmetry-distinct sites (fractional):
Cs 0.250 0.000 0.248 x4
Sm 0.250 0.250 0.752 x2
Hg 0.250 0.750 0.747 x2
Br 0.009 0.250 0.513 x4
Br 0.010 0.250 0.993 x4
Br 0.250 0.009 0.752 x4

uncorrected energy = -3.1735 eV per atom
size of the total moment = 0.00 μB/f.u.

***

This record from Alexandria describes a relaxed structure of LiLaMn2. The functional is PBE.

Cell: 3.1771 3.1771 28.9879 Å, 90.00 90.00 120.00°
Space group R-3m (No. 166, hexagonal axes)
Symmetry-distinct sites (fractional):
Li 0.0000 0.0000 0.0000 x3
La 0.0000 0.0000 0.5000 x3
Mn 0.0000 0.0000 0.2566 x6

energy above the most stable polymorph in this dataset = 0.371 eV per atom
DFT formation energy = 642.6 meV/atom
size of the total moment = 7.65 μB/f.u.

***

This record from Alexandria describes a relaxed structure of CsBa4Sn4. The functional is PBE.

Cell: 11.427 11.427 7.045 Å, 90.00 90.00 90.00°
Space group P4_2/n (No. 86, origin choice 2)
Symmetry-distinct sites (fractional):
Cs 0.250 0.250 0.250 x2
Ba 0.092 0.643 0.121 x8
Sn 0.043 0.590 0.621 x8

DFT formation energy = -413.0 meV/atom
size of the total moment = 0.00 μB/f.u.

***

This record from Alexandria describes a relaxed structure of Na4Au2F. The functional is PBE.

Cell: 4.521 4.521 15.564 Å, 90.00 90.00 90.00°
Space group I4/mmm (No. 139)
Symmetry-distinct sites (fractional):
Na 0.000 0.000 0.166 x4
Na 0.000 0.500 0.000 x4
Au 0.000 0.000 0.361 x4
F 0.000 0.000 0.000 x2

uncorrected energy = -2.8473 eV per atom
size of the total moment = 0.00 μB/f.u.

***

This record from Alexandria describes a relaxed structure of K4Y3TiTe8. The functional is PBE.

Cell: 8.8410 8.8410 24.7036 Å, 90.00 90.00 120.00°
Space group R-3m (No. 166, hexagonal axes)
Symmetry-distinct sites (fractional):
K 0.0000 0.0000 0.0000 x3
K 0.0000 0.5000 0.0000 x9
Y 0.0000 0.5000 0.5000 x9
Ti 0.0000 0.0000 0.5000 x3
Te 0.0000 0.0000 0.2372 x6
Te 0.0174 0.5087 0.2338 x18

uncorrected energy = -4.7930 eV per atom
size of the total moment = 1.00 μB/f.u.

***

This record from Alexandria describes a relaxed structure of Ce4Ge3. The functional is PBE.

Cell: 8.969 8.969 8.969 Å, 90.00 90.00 90.00°
Space group I-43d (No. 220)
Symmetry-distinct sites (fractional):
Ce 0.072 0.428 0.572 x16
Ge 0.000 0.250 0.875 x12

DFT formation energy = -693.3 meV/atom
size of the total moment = 3.53 μB/f.u.

***

This record from Alexandria describes a relaxed structure of HgRh. The functional is PBE.

Cell: 8.157 8.157 4.616 Å, 90.00 90.00 90.00°
Space group I4/mmm (No. 139)
Symmetry-distinct sites (fractional):
Hg 0.000 0.280 0.000 x8
Rh 0.165 0.165 0.500 x8

DFT formation energy = 272.5 meV/atom
size of the total moment = 0.59 μB/f.u.

***

This record from Alexandria describes a relaxed structure of AcHo3Er12. The functional is PBE.

Cell: 5.001 5.001 20.036 Å, 90.00 90.00 90.00°
Space group P4/mmm (No. 123)
Symmetry-distinct sites (fractional):
Ac 0.000 0.000 0.000 x1
Ho 0.000 0.000 0.253 x2
Ho 0.000 0.000 0.500 x1
Er 0.000 0.500 0.131 x4
Er 0.000 0.500 0.377 x4
Er 0.500 0.500 0.000 x1
Er 0.500 0.500 0.254 x2
Er 0.500 0.500 0.500 x1

DFT formation energy = 36.6 meV/atom
size of the total moment = 0.00 μB/f.u.